Entry from Alexandria: a geometry-optimized LaVPb3 structure (PBE-GGA).

Properties
ΔE to the lowest computed polymorph   1072 meV per atom
VASP energy   -3.8613 eV/atom
M_tot   0.722 μB per atom

Cell lengths 6.0125, 6.0125, 6.0125 Å; angles 90.00, 90.00, 90.00 degrees
Last column: nearest neighbours and their distance in Å.
Fractional coordinates of all 5 atoms:
La  0.0000  0.0000  0.0000  6 Pb 3.01
V  0.5000  0.5000  0.5000  12 Pb 4.25
Pb  0.0000  0.0000  0.5000  2 La 3.01
Pb  0.0000  0.5000  0.0000  2 La 3.01
Pb  0.5000  0.0000  0.0000  2 La 3.01

---

Entry from Alexandria: a geometry-optimized Li2IrAu structure (PBE-GGA).

Properties
VASP energy   -4.2235 eV/atom
M_tot   0.000 μB per atom

Cell lengths 2.7660, 2.7660, 26.5699 Å; angles 90.00, 90.00, 120.00 degrees
Last column: nearest neighbours and their distance in Å.
Fractional coordinates of all 12 atoms:
Li  0.0000  0.0000  0.2461  3 Ir 2.65, 6 Li 2.77, 3 Au 2.82
Li  0.0000  0.0000  0.7539  3 Ir 2.65, 6 Li 2.77, 3 Au 2.82
Li  0.3333  0.6667  0.4206  3 Ir 2.65, 6 Li 2.77, 3 Au 2.82
Li  0.3333  0.6667  0.9127  3 Ir 2.65, 6 Li 2.77, 3 Au 2.82
Li  0.6667  0.3333  0.0873  3 Ir 2.65, 6 Li 2.77, 3 Au 2.82
Li  0.6667  0.3333  0.5794  3 Ir 2.65, 6 Li 2.77, 3 Au 2.82
Ir  0.0000  0.0000  0.5000  6 Li 2.65, 6 Ir 2.77
Ir  0.3333  0.6667  0.1667  6 Li 2.65, 6 Ir 2.77
Ir  0.6667  0.3333  0.8333  6 Li 2.65, 6 Ir 2.77
Au  0.0000  0.0000  0.0000  6 Au 2.77, 6 Li 2.82
Au  0.3333  0.6667  0.6667  6 Au 2.77, 6 Li 2.82
Au  0.6667  0.3333  0.3333  6 Au 2.77, 6 Li 2.82

---

Entry from Alexandria: a geometry-optimized CsZrRu2C structure (PBE-GGA).

Properties
VASP energy   -3.7931 eV/atom
M_tot   0.300 μB per atom

Cell lengths 4.7989, 4.7989, 5.3315 Å; angles 90.00, 90.00, 90.00 degrees
Last column: nearest neighbours and their distance in Å.
Fractional coordinates of all 5 atoms:
Cs  0.0000  0.0000  0.0000  4 Ru 2.40, 2 Zr 2.67
Zr  0.0000  0.0000  0.5000  2 Cs 2.67
Ru  0.0000  0.5000  0.0000  2 Cs 2.40
Ru  0.5000  0.0000  0.0000  2 Cs 2.40
C  0.5000  0.5000  0.5000  4 Zr 3.39, 8 Ru 3.59